[1]
# KRe2Rh, relaxed, DFT PBE-GGA
# Energy of formation from the pure elements: 0.88 eV per atom
# N(E_F): 1.39 states/eV per atom
# Polymorph energy (0 for the lowest one): 0.2785 eV per atom
data_KRe2Rh
_chemical_formula_sum 'K1 Re2 Rh1'
_cell_length_a 2.692
_cell_length_b 2.692
_cell_length_c 9.970
_cell_angle_alpha 90.00
_cell_angle_beta 90.00
_cell_angle_gamma 90.00
_symmetry_space_group_name_H-M 'P 4/m m m'
_symmetry_Int_Tables_number 123
_symmetry_space_group_name_Hall '-P 4 2'
loop_
_atom_site_label
_atom_site_type_symbol
_atom_site_fract_x
_atom_site_fract_y
_atom_site_fract_z
K1 K 0.000 0.000 0.000
Re1 Re 0.500 0.500 0.301
Rh1 Rh 0.000 0.000 0.500



[2]
# HfAlTcIr, relaxed, DFT PBE-GGA
# Energy of formation from the pure elements: -0.73 eV per atom
# N(E_F): 0.88 states/eV per atom
data_HfAlTcIr
_chemical_formula_sum 'Hf1 Al1 Tc1 Ir1'
_cell_length_a 3.229
_cell_length_b 4.367
_cell_length_c 4.461
_cell_angle_alpha 90.00
_cell_angle_beta 90.00
_cell_angle_gamma 90.00
_symmetry_space_group_name_H-M 'P m m m'
_symmetry_Int_Tables_number 47
_symmetry_space_group_name_Hall '-P 2 2'
loop_
_atom_site_label
_atom_site_type_symbol
_atom_site_fract_x
_atom_site_fract_y
_atom_site_fract_z
Hf1 Hf 0.000 0.000 0.000
Al1 Al 0.000 0.500 0.500
Tc1 Tc 0.500 0.500 0.000
Ir1 Ir 0.500 0.000 0.500



[3]
# La6PrEr2Mg, relaxed, DFT PBE-GGA
# Energy of formation from the pure elements: 0.09 eV per atom
# N(E_F): 1.52 states/eV per atom
data_La6PrEr2Mg
_chemical_formula_sum 'La24 Pr4 Er8 Mg4'
_cell_length_a 10.644
_cell_length_b 13.835
_cell_length_c 9.514
_cell_angle_alpha 90.00
_cell_angle_beta 99.79
_cell_angle_gamma 90.00
_symmetry_space_group_name_H-M 'C 1 2/c 1'
_symmetry_Int_Tables_number 15
_symmetry_space_group_name_Hall '-C 2yc'
loop_
_atom_site_label
_atom_site_type_symbol
_atom_site_fract_x
_atom_site_fract_y
_atom_site_fract_z
La1 La 0.059 0.118 0.099
La2 La 0.090 0.330 0.919
La3 La 0.245 0.290 0.329
Pr1 Pr 0.000 0.431 0.250
Er1 Er 0.233 0.467 0.596
Mg1 Mg 0.000 0.097 0.750



Which value of energy of formation from the pure elements does entry 1 give?
0.88 eV per atom